1.
# PBE CaYRu2, optimized geometry
data_CaYRu2
_chemical_formula_sum 'Ca2 Y2 Ru4'
_symmetry_space_group_name_H-M 'C m m m'
_symmetry_Int_Tables_number 65
_symmetry_space_group_name_Hall '-C 2 2'
_cell_length_a 3.524
_cell_length_b 5.146
_cell_length_c 8.779
_cell_angle_alpha 90.00
_cell_angle_beta 90.00
_cell_angle_gamma 90.00
loop_
_atom_site_label
_atom_site_fract_x
_atom_site_fract_y
_atom_site_fract_z
Ca1 0.000 0.000 0.000
Y1 0.000 0.000 0.500
Ru1 0.000 0.500 0.257
# D(E_F), states/eV per cell: 9.0
# Energy relative to the elements, eV/atom: 0.287
# V, Å³/atom: 19.90
# Crystal system: orthorhombic
# Total magnetic moment, μB per cell: 0.0

=====

2.
# PBE CaY3Ru, optimized geometry
data_CaY3Ru
_chemical_formula_sum 'Ca4 Y12 Ru4'
_symmetry_space_group_name_H-M 'I -4 m 2'
_symmetry_Int_Tables_number 119
_symmetry_space_group_name_Hall 'I -4 -2'
_cell_length_a 5.653
_cell_length_b 5.653
_cell_length_c 24.693
_cell_angle_alpha 90.00
_cell_angle_beta 90.00
_cell_angle_gamma 90.00
loop_
_atom_site_label
_atom_site_fract_x
_atom_site_fract_y
_atom_site_fract_z
Ca1 0.000 0.000 0.000
Ca2 0.000 0.500 0.250
Y1 0.000 0.000 0.290
Y2 0.000 0.237 0.139
Ru1 0.000 0.500 0.701
# D(E_F), states/eV per cell: 26.4
# Energy relative to the elements, eV/atom: 0.886
# V, Å³/atom: 39.45
# Crystal system: tetragonal
# Total magnetic moment, μB per cell: 3.7

=====

3.
# PBE CaY3Ru, optimized geometry
data_CaY3Ru
_chemical_formula_sum 'Ca2 Y6 Ru2'
_symmetry_space_group_name_H-M 'P 1 m 1'
_symmetry_Int_Tables_number 6
_cell_length_a 8.701
_cell_length_b 3.847
_cell_length_c 9.002
_cell_angle_alpha 90.00
_cell_angle_beta 102.85
_cell_angle_gamma 90.00
loop_
_symmetry_equiv_pos_as_xyz
'x,y,z'
'x,-y,z'
loop_
_atom_site_label
_atom_site_fract_x
_atom_site_fract_y
_atom_site_fract_z
Ca1 0.000 0.000 0.000
Ca2 0.389 0.500 0.162
Y1 0.058 0.500 0.363
Y2 0.210 0.500 0.746
Y3 0.410 0.000 0.518
Y4 0.587 0.000 0.910
Y5 0.728 0.000 0.308
Y6 0.786 0.500 0.659
Ru1 0.774 0.500 0.093
Ru2 0.994 0.000 0.579
# D(E_F), states/eV per cell: 14.9
# Energy relative to the elements, eV/atom: -0.151
# V, Å³/atom: 29.37
# Crystal system: monoclinic
# Total magnetic moment, μB per cell: 0.0

=====

> Which of these has the lowest energy relative to the elements?

number 3

=====

Please write out number 1 again, unchanged.
# PBE CaYRu2, optimized geometry
data_CaYRu2
_chemical_formula_sum 'Ca2 Y2 Ru4'
_symmetry_space_group_name_H-M 'C m m m'
_symmetry_Int_Tables_number 65
_symmetry_space_group_name_Hall '-C 2 2'
_cell_length_a 3.524
_cell_length_b 5.146
_cell_length_c 8.779
_cell_angle_alpha 90.00
_cell_angle_beta 90.00
_cell_angle_gamma 90.00
loop_
_atom_site_label
_atom_site_fract_x
_atom_site_fract_y
_atom_site_fract_z
Ca1 0.000 0.000 0.000
Y1 0.000 0.000 0.500
Ru1 0.000 0.500 0.257
# D(E_F), states/eV per cell: 9.0
# Energy relative to the elements, eV/atom: 0.287
# V, Å³/atom: 19.90
# Crystal system: orthorhombic
# Total magnetic moment, μB per cell: 0.0

=====

> Which formula does entry 2 have?

CaY3Ru